# 1
A plane-wave DFT calculation with PBE-GGA was carried out for a geometry-optimized SiTeMo2 structure.

## Properties
Energy above the lowest structure with this stoichiometry: 376.7 meV/atom
Formation energy without anion corrections: 0.401 eV/atom
Symmetry: Cmm2
Total DFT energy (no corrections): -7.156 eV/atom

The structure in POSCAR format:
```
SiTeMo2
1.0
3.359 0.000 0.000
0.000 4.791 0.000
0.000 0.000 9.226
Si Te Mo
2 2 4
Cartesian
0.000 0.000 0.000 Si
1.679 2.396 0.000 Si
0.000 2.396 6.297 Te
1.679 0.000 6.297 Te
0.000 0.000 3.967 Mo
0.000 2.396 1.909 Mo
1.679 0.000 1.909 Mo
1.679 2.396 3.967 Mo
```

***

# 2
A plane-wave DFT calculation with PBE-GGA was carried out for a geometry-optimized SiTe2Mo structure.

## Properties
Formation energy without anion corrections: 0.648 eV/atom
Symmetry: I-42d
Total DFT energy (no corrections): -4.986 eV/atom

The structure in POSCAR format:
```
SiTe2Mo
1.0
6.253 0.000 0.000
0.000 6.253 0.000
0.000 0.000 12.003
Si Te Mo
4 8 4
Cartesian
0.000 0.000 0.000 Si
0.000 3.126 3.001 Si
3.126 0.000 9.002 Si
3.126 3.126 6.001 Si
1.476 1.563 7.502 Te
1.563 4.603 10.502 Te
1.563 4.777 4.501 Te
1.650 1.563 1.500 Te
4.603 4.690 1.500 Te
4.690 1.476 4.501 Te
4.690 1.650 10.502 Te
4.777 4.690 7.502 Te
0.000 0.000 6.001 Mo
0.000 3.126 9.002 Mo
3.126 0.000 3.001 Mo
3.126 3.126 0.000 Mo
```

***

# 3
A plane-wave DFT calculation with PBE-GGA was carried out for a geometry-optimized SiTe2Mo structure.

## Properties
Formation energy without anion corrections: 0.892 eV/atom
Symmetry: R-3m
Total DFT energy (no corrections): -4.742 eV/atom

The structure in POSCAR format:
```
SiTe2Mo
1.0
3.712 0.000 0.000
-1.856 3.215 0.000
0.000 0.000 25.682
Si Te Mo
3 6 3
Cartesian
0.000 0.000 0.000 Si
0.000 2.143 17.121 Si
1.856 1.072 8.561 Si
0.000 0.000 10.216 Te
0.000 0.000 15.466 Te
0.000 2.143 1.656 Te
0.000 2.143 6.905 Te
1.856 1.072 18.777 Te
1.856 1.072 24.026 Te
0.000 0.000 12.841 Mo
0.000 2.143 4.280 Mo
1.856 1.072 21.402 Mo
```

***

# 4
A plane-wave DFT calculation with PBE-GGA was carried out for a geometry-optimized SiTe2Mo structure.

## Properties
Formation energy without anion corrections: 0.376 eV/atom
Symmetry: R-3m
Total DFT energy (no corrections): -5.258 eV/atom

The structure in POSCAR format:
```
SiTe2Mo
1.0
3.412 0.000 0.000
-1.706 2.955 0.000
0.000 0.000 28.886
Si Te Mo
3 6 3
Cartesian
0.000 0.000 0.000 Si
0.000 1.970 19.258 Si
1.706 0.985 9.629 Si
0.000 0.000 2.907 Te
0.000 0.000 25.979 Te
0.000 1.970 16.351 Te
0.000 1.970 22.165 Te
1.706 0.985 6.722 Te
1.706 0.985 12.536 Te
0.000 0.000 14.443 Mo
0.000 1.970 4.814 Mo
1.706 0.985 24.072 Mo
```

***

# 5
A plane-wave DFT calculation with PBE-GGA was carried out for a geometry-optimized Si2TeMo structure.

## Properties
Formation energy without anion corrections: 0.580 eV/atom
Symmetry: Cmmm
Total DFT energy (no corrections): -5.625 eV/atom

The structure in POSCAR format:
```
Si2TeMo
1.0
5.655 0.000 0.000
0.000 7.576 0.000
0.000 0.000 3.181
Si Te Mo
4 2 2
Cartesian
1.414 1.894 0.000 Si
1.414 5.682 0.000 Si
4.242 1.894 0.000 Si
4.242 5.682 0.000 Si
0.000 0.000 1.590 Te
2.828 3.788 1.590 Te
0.000 3.788 1.590 Mo
2.828 0.000 1.590 Mo
```

***

# 6
A plane-wave DFT calculation with PBE-GGA was carried out for a geometry-optimized SiTe4Mo structure.

## Properties
Formation energy without anion corrections: 1.263 eV/atom
Symmetry: F-43m
Total DFT energy (no corrections): -3.541 eV/atom

The structure in POSCAR format:
```
SiTe4Mo
1.0
0.000 4.406 4.406
4.406 0.000 4.406
4.406 4.406 0.000
Si Te Mo
1 4 1
Cartesian
0.000 0.000 0.000 Si
5.504 3.308 3.308 Te
3.308 5.504 3.308 Te
3.308 3.308 5.504 Te
5.504 5.504 5.504 Te
2.203 2.203 2.203 Mo
```

***

# 7
A plane-wave DFT calculation with PBE-GGA was carried out for a geometry-optimized SiTe2Mo structure.

## Properties
Formation energy without anion corrections: 0.363 eV/atom
Symmetry: P4/mmm
Total DFT energy (no corrections): -5.271 eV/atom

The structure in POSCAR format:
```
SiTe2Mo
1.0
3.359 0.000 0.000
0.000 3.359 0.000
0.000 0.000 7.240
Si Te Mo
1 2 1
Cartesian
0.000 0.000 0.000 Si
1.679 1.679 1.968 Te
1.679 1.679 5.273 Te
0.000 0.000 3.620 Mo
```

***

# 8
A plane-wave DFT calculation with PBE-GGA was carried out for a geometry-optimized Si2TeMo structure.

## Properties
Formation energy without anion corrections: 0.657 eV/atom
Symmetry: I4/mmm
Total DFT energy (no corrections): -5.547 eV/atom

The structure in POSCAR format:
```
Si2TeMo
1.0
4.041 0.000 0.000
0.000 4.041 0.000
0.000 0.000 8.502
Si Te Mo
4 2 2
Cartesian
0.000 2.021 2.125 Si
0.000 2.021 6.376 Si
2.021 0.000 2.125 Si
2.021 0.000 6.376 Si
0.000 0.000 0.000 Te
2.021 2.021 4.251 Te
0.000 0.000 4.251 Mo
2.021 2.021 0.000 Mo
```

***

# 9
A plane-wave DFT calculation with PBE-GGA was carried out for a geometry-optimized Si3TeMo structure.

## Properties
Energy above the lowest structure with this stoichiometry: 0.0 meV/atom
Formation energy without anion corrections: 0.618 eV/atom
Symmetry: Pm-3m
Total DFT energy (no corrections): -5.430 eV/atom

The structure in POSCAR format:
```
Si3TeMo
1.0
4.824 0.000 0.000
0.000 4.824 0.000
0.000 0.000 4.824
Si Te Mo
3 1 1
Cartesian
0.000 0.000 2.412 Si
0.000 2.412 0.000 Si
2.412 0.000 0.000 Si
2.412 2.412 2.412 Te
0.000 0.000 0.000 Mo
```

***

# 10
A plane-wave DFT calculation with PBE-GGA was carried out for a geometry-optimized SiTeMo2 structure.

## Properties
Energy above the lowest structure with this stoichiometry: 438.8 meV/atom
Formation energy without anion corrections: 0.463 eV/atom
Symmetry: Cmmm
Total DFT energy (no corrections): -7.094 eV/atom

The structure in POSCAR format:
```
SiTeMo2
1.0
3.464 0.000 0.000
0.000 5.042 0.000
0.000 0.000 8.040
Si Te Mo
2 2 4
Cartesian
0.000 0.000 0.000 Si
1.732 2.521 0.000 Si
0.000 0.000 4.020 Te
1.732 2.521 4.020 Te
0.000 2.521 1.711 Mo
0.000 2.521 6.329 Mo
1.732 0.000 1.711 Mo
1.732 0.000 6.329 Mo
```

***

# 11
A plane-wave DFT calculation with PBE-GGA was carried out for a geometry-optimized Si2TeMo structure.

## Properties
Formation energy without anion corrections: 0.369 eV/atom
Symmetry: Cmmm
Total DFT energy (no corrections): -5.836 eV/atom

The structure in POSCAR format:
```
Si2TeMo
1.0
3.636 0.000 0.000
0.000 4.455 0.000
0.000 0.000 9.517
Si Te Mo
4 2 2
Cartesian
0.000 0.000 1.834 Si
0.000 0.000 7.683 Si
1.818 2.228 1.834 Si
1.818 2.228 7.683 Si
0.000 2.228 4.759 Te
1.818 0.000 4.759 Te
0.000 2.228 0.000 Mo
1.818 0.000 0.000 Mo
```

***

# 12
A plane-wave DFT calculation with PBE-GGA was carried out for a geometry-optimized SiTeMo2 structure.

## Properties
Energy above the lowest structure with this stoichiometry: 149.3 meV/atom
Formation energy without anion corrections: 0.173 eV/atom
Symmetry: Fm-3m
Total DFT energy (no corrections): -7.383 eV/atom

The structure in POSCAR format:
```
SiTeMo2
1.0
6.386 0.000 0.000
0.000 6.386 0.000
0.000 0.000 6.386
Si Te Mo
4 4 8
Cartesian
0.000 0.000 0.000 Si
0.000 3.193 3.193 Si
3.193 0.000 3.193 Si
3.193 3.193 0.000 Si
0.000 0.000 3.193 Te
0.000 3.193 0.000 Te
3.193 0.000 0.000 Te
3.193 3.193 3.193 Te
1.597 1.597 1.597 Mo
1.597 1.597 4.790 Mo
1.597 4.790 1.597 Mo
1.597 4.790 4.790 Mo
4.790 1.597 1.597 Mo
4.790 1.597 4.790 Mo
4.790 4.790 1.597 Mo
4.790 4.790 4.790 Mo
```

***

# 13
A plane-wave DFT calculation with PBE-GGA was carried out for a geometry-optimized SiTe3Mo structure.

## Properties
Energy above the lowest structure with this stoichiometry: 412.7 meV/atom
Formation energy without anion corrections: 1.220 eV/atom
Symmetry: Pm-3m
Total DFT energy (no corrections): -3.916 eV/atom

The structure in POSCAR format:
```
SiTe3Mo
1.0
5.101 0.000 0.000
0.000 5.101 0.000
0.000 0.000 5.101
Si Te Mo
1 3 1
Cartesian
0.000 0.000 0.000 Si
0.000 0.000 2.551 Te
0.000 2.551 0.000 Te
2.551 0.000 0.000 Te
2.551 2.551 2.551 Mo
```

***

# 14
A plane-wave DFT calculation with PBE-GGA was carried out for a geometry-optimized Si2TeMo structure.

## Properties
Formation energy without anion corrections: 0.445 eV/atom
Symmetry: Imm2
Total DFT energy (no corrections): -5.760 eV/atom

The structure in POSCAR format:
```
Si2TeMo
1.0
3.480 0.000 0.000
0.000 4.810 0.000
0.000 0.000 8.158
Si Te Mo
4 2 2
Cartesian
0.000 0.000 0.000 Si
0.000 2.405 2.420 Si
1.740 0.000 6.499 Si
1.740 2.405 4.079 Si
0.000 2.405 6.121 Te
1.740 0.000 2.042 Te
0.000 0.000 4.432 Mo
1.740 2.405 0.353 Mo
```

***

# 15
A plane-wave DFT calculation with PBE-GGA was carried out for a geometry-optimized Si2TeMo2 structure.

## Properties
Energy above the lowest structure with this stoichiometry: 149.0 meV/atom
Formation energy without anion corrections: 0.031 eV/atom
Symmetry: P4/mbm
Total DFT energy (no corrections): -7.099 eV/atom

The structure in POSCAR format:
```
Si2TeMo2
1.0
7.218 0.000 0.000
0.000 7.218 0.000
0.000 0.000 3.203
Si Te Mo
4 2 4
Cartesian
0.933 2.676 0.000 Si
2.676 6.285 0.000 Si
4.542 0.933 0.000 Si
6.285 4.542 0.000 Si
0.000 0.000 1.601 Te
3.609 3.609 1.601 Te
1.116 4.725 1.601 Mo
2.493 1.116 1.601 Mo
4.725 6.103 1.601 Mo
6.103 2.493 1.601 Mo
```

***

# 16
A plane-wave DFT calculation with PBE-GGA was carried out for a geometry-optimized Si3TeMo structure.

## Properties
Energy above the lowest structure with this stoichiometry: 1319.4 meV/atom
Formation energy without anion corrections: 1.938 eV/atom
Symmetry: Pm-3m
Total DFT energy (no corrections): -4.111 eV/atom

The structure in POSCAR format:
```
Si3TeMo
1.0
5.064 0.000 0.000
0.000 5.064 0.000
0.000 0.000 5.064
Si Te Mo
3 1 1
Cartesian
0.000 0.000 2.532 Si
0.000 2.532 0.000 Si
2.532 0.000 0.000 Si
0.000 0.000 0.000 Te
2.532 2.532 2.532 Mo
```

***

# 17
A plane-wave DFT calculation with PBE-GGA was carried out for a geometry-optimized SiTeMo2 structure.

## Properties
Energy above the lowest structure with this stoichiometry: 236.5 meV/atom
Formation energy without anion corrections: 0.261 eV/atom
Symmetry: C2/m
Total DFT energy (no corrections): -7.296 eV/atom

The structure in POSCAR format:
```
SiTeMo2
1.0
8.524 0.000 0.000
0.000 3.156 0.000
-1.318 0.000 5.069
Si Te Mo
2 2 4
Cartesian
0.000 0.000 0.000 Si
4.262 1.578 0.000 Si
-0.659 1.578 2.535 Te
3.603 0.000 2.535 Te
1.632 1.578 1.128 Mo
1.313 0.000 3.942 Mo
5.894 0.000 1.128 Mo
5.575 1.578 3.942 Mo
```

***

# 18
A plane-wave DFT calculation with PBE-GGA was carried out for a geometry-optimized SiTeMo3 structure.

## Properties
Energy above the lowest structure with this stoichiometry: 1075.3 meV/atom
Formation energy without anion corrections: 2.073 eV/atom
Symmetry: Pm-3m
Total DFT energy (no corrections): -6.139 eV/atom

The structure in POSCAR format:
```
SiTeMo3
1.0
4.866 0.000 0.000
0.000 4.866 0.000
0.000 0.000 4.866
Si Te Mo
1 1 3
Cartesian
0.000 0.000 0.000 Si
2.433 2.433 2.433 Te
0.000 2.433 2.433 Mo
2.433 0.000 2.433 Mo
2.433 2.433 0.000 Mo
```

***

# 19
A plane-wave DFT calculation with PBE-GGA was carried out for a geometry-optimized SiTeMo3 structure.

## Properties
Energy above the lowest structure with this stoichiometry: 0.0 meV/atom
Formation energy without anion corrections: 0.998 eV/atom
Symmetry: Pm-3m
Total DFT energy (no corrections): -7.214 eV/atom

The structure in POSCAR format:
```
SiTeMo3
1.0
4.572 0.000 0.000
0.000 4.572 0.000
0.000 0.000 4.572
Si Te Mo
1 1 3
Cartesian
0.000 0.000 0.000 Si
2.286 2.286 2.286 Te
0.000 0.000 2.286 Mo
0.000 2.286 0.000 Mo
2.286 0.000 0.000 Mo
```

***

# 20
A plane-wave DFT calculation with PBE-GGA was carried out for a geometry-optimized SiTe2Mo structure.

## Properties
Formation energy without anion corrections: 0.646 eV/atom
Symmetry: I4/mmm
Total DFT energy (no corrections): -4.988 eV/atom

The structure in POSCAR format:
```
SiTe2Mo
1.0
5.697 0.000 0.000
0.000 5.697 0.000
0.000 0.000 5.890
Si Te Mo
2 4 2
Cartesian
0.000 0.000 0.000 Si
2.848 2.848 2.945 Si
0.000 2.848 0.000 Te
0.000 2.848 2.945 Te
2.848 0.000 0.000 Te
2.848 0.000 2.945 Te
0.000 0.000 2.945 Mo
2.848 2.848 0.000 Mo
```